(1)
The following is a PBE calculation of La6Ho3Er after structural relaxation, from Alexandria via LeMat-Bulk.

```
La6Ho3Er
1.0
6.024 0.000 0.000
0.000 9.708 0.000
-5.986 0.000 12.029
La Ho Er
12 6 2
Cartesian
-0.004 1.463 1.131
-2.997 3.391 7.145
-2.594 0.462 9.019
0.399 4.392 3.005
0.009 1.474 4.892
-2.984 3.380 10.906
3.021 6.328 1.123
0.028 8.234 7.137
-0.362 5.316 9.024
2.631 9.246 3.010
3.034 6.317 4.884
0.042 8.245 10.898
-2.993 0.000 6.014
0.000 4.854 0.000
-3.251 6.783 9.013
-0.258 7.780 2.999
0.296 1.929 9.030
3.289 2.926 3.016
3.012 0.000 0.000
0.019 4.854 6.014
```

Properties
Density of states at the Fermi level (states/eV/f.u.): 12.56
Formation energy (eV/atom): 0.19
VASP energy (eV/atom): -4.601
Offset from the most stable computed form (meV per atom): 0

(2)
The following is a PBE calculation of ScZn2InH after structural relaxation, from Alexandria via LeMat-Bulk.

```
ScZn2InH
1.0
4.285 0.000 0.000
0.000 4.285 0.000
0.000 0.000 4.154
Sc Zn In H
1 2 1 1
Cartesian
0.000 0.000 0.000
0.000 2.143 2.077
2.143 0.000 2.077
2.143 2.143 0.000
0.000 0.000 2.077
```

Properties
Density of states at the Fermi level (states/eV/f.u.): 1.20
VASP energy (eV/atom): -3.194

(3)
The following is a PBE calculation of SbTeAs2 after structural relaxation, from Alexandria via LeMat-Bulk.

```
SbTeAs2
1.0
4.974 0.000 0.000
0.000 4.093 0.000
-1.892 0.000 5.158
Sb Te As
1 1 2
Cartesian
0.000 0.000 0.000
-0.139 2.046 3.768
1.711 0.000 2.177
3.187 2.046 1.335
```

Properties
Density of states at the Fermi level (states/eV/f.u.): 1.46
Formation energy from raw total energies (eV/f.u.): 0.284
VASP energy (eV/atom): -4.070
Offset from the most stable computed form (meV per atom): 0

(4)
The following is a PBE calculation of SrBeHg2 after structural relaxation, from Alexandria via LeMat-Bulk.

```
SrBeHg2
1.0
3.820 -2.209 0.000
3.820 2.209 0.000
-2.558 0.000 5.906
Sr Be Hg
1 1 2
Cartesian
0.000 0.000 0.000
2.541 0.000 2.953
-0.006 0.000 3.750
5.088 0.000 2.157
```

Properties
Density of states at the Fermi level (states/eV/f.u.): 1.53
Formation energy (eV/atom): -0.07
VASP energy (eV/atom): -1.569

(5)
The following is a PBE calculation of Dy3Cu2Ru after structural relaxation, from Alexandria via LeMat-Bulk.

```
Dy3Cu2Ru
1.0
4.861 0.000 0.000
-2.431 4.210 0.000
0.000 0.000 5.999
Dy Cu Ru
3 2 1
Cartesian
0.000 0.000 0.000
0.000 2.807 3.957
2.431 1.403 2.042
0.000 2.807 0.996
2.431 1.403 5.004
0.000 0.000 3.000
```

Properties
Density of states at the Fermi level (states/eV/f.u.): 5.32
Formation energy (eV/atom): -0.31
VASP energy (eV/atom): -5.518

(6)
The following is a PBE calculation of CeGe2Ir3 after structural relaxation, from Alexandria via LeMat-Bulk.

```
CeGe2Ir3
1.0
8.286 -2.029 0.000
8.286 2.029 0.000
-3.003 0.000 9.401
Ce Ge Ir
3 6 9
Cartesian
0.000 0.000 0.000
0.563 0.000 6.626
13.006 0.000 2.775
2.843 0.000 1.180
4.370 0.000 5.121
6.995 0.000 2.096
6.574 0.000 7.305
9.199 0.000 4.280
10.726 0.000 8.221
-0.267 0.000 3.099
2.449 0.000 3.676
5.202 0.000 0.423
3.891 0.000 7.557
6.785 0.000 4.701
9.678 0.000 1.844
8.367 0.000 8.978
11.121 0.000 5.725
13.836 0.000 6.302
```

Properties
Density of states at the Fermi level (states/eV/f.u.): 4.71
Formation energy (eV/atom): -0.64
VASP energy (eV/atom): -7.598

(7)
The following is a PBE calculation of Re3Ir after structural relaxation, from Alexandria via LeMat-Bulk.

```
Re3Ir
1.0
3.780 -3.782 0.000
3.780 3.782 0.000
0.000 0.000 4.505
Re Ir
6 2
Cartesian
3.780 3.190 3.379
2.497 1.882 1.126
5.063 1.882 1.126
2.497 -1.882 3.379
5.063 -1.882 3.379
3.780 -3.190 1.126
3.780 0.614 3.379
3.780 -0.614 1.126
```

Properties
Density of states at the Fermi level (states/eV/f.u.): 3.01
Formation energy (eV/atom): 0.29
VASP energy (eV/atom): -11.263

(8)
The following is a PBE calculation of PrHoAl2 after structural relaxation, from Alexandria via LeMat-Bulk.

```
PrHoAl2
1.0
2.339 -6.436 0.000
2.339 6.436 0.000
0.000 0.000 6.994
Pr Ho Al
2 2 4
Cartesian
2.339 5.635 5.245
2.339 -5.635 1.748
2.339 3.602 1.748
2.339 -3.602 5.245
2.339 1.291 3.937
2.339 1.291 6.554
2.339 -1.291 0.440
2.339 -1.291 3.057
```

Properties
Density of states at the Fermi level (states/eV/f.u.): 2.92
Formation energy (eV/atom): -0.37
VASP energy (eV/atom): -4.581

(9)
The following is a PBE calculation of HfTe3Rh after structural relaxation, from Alexandria via LeMat-Bulk.

```
HfTe3Rh
1.0
5.498 0.000 0.000
0.000 5.498 0.000
0.000 0.000 5.498
Hf Te Rh
1 3 1
Cartesian
0.000 0.000 0.000
0.000 0.000 2.749
0.000 2.749 0.000
2.749 0.000 0.000
2.749 2.749 2.749
```

Properties
Density of states at the Fermi level (states/eV/f.u.): 8.78
Formation energy from raw total energies (eV/f.u.): 2.771
VASP energy (eV/atom): -4.792
Offset from the most stable computed form (meV per atom): 165

(10)
The following is a PBE calculation of SrTc2Rh after structural relaxation, from Alexandria via LeMat-Bulk.

```
SrTc2Rh
1.0
3.174 0.000 0.000
0.000 4.449 0.000
0.000 0.000 5.073
Sr Tc Rh
1 2 1
Cartesian
0.000 0.000 0.000
0.000 2.225 2.537
1.587 0.000 2.537
1.587 2.225 0.000
```

Properties
Density of states at the Fermi level (states/eV/f.u.): 4.89
Formation energy (eV/atom): 0.73
VASP energy (eV/atom): -6.715
Offset from the most stable computed form (meV per atom): 395

(11)
The following is a PBE calculation of NaUBr5 after structural relaxation, from Alexandria via LeMat-Bulk.

```
NaUBr5
1.0
6.244 -4.341 0.000
6.244 4.341 0.000
-4.936 0.000 9.924
Na U Br
2 2 10
Cartesian
2.542 4.149 7.443
5.010 -4.149 2.481
6.244 0.000 0.000
3.776 0.000 4.962
5.282 2.565 0.271
1.524 0.725 3.607
4.737 2.565 4.691
-0.944 -0.725 8.569
2.542 0.911 7.443
5.010 -0.911 2.481
8.495 0.725 1.355
2.814 -2.565 5.234
6.027 -0.725 6.317
2.269 -2.565 9.653
```

Properties
Density of states at the Fermi level (states/eV/f.u.): 2.53
Formation energy from raw total energies (eV/f.u.): -9.383
VASP energy (eV/atom): -4.336
Offset from the most stable computed form (meV per atom): 7

(12)
The following is a PBE calculation of RbGaBr2 after structural relaxation, from Alexandria via LeMat-Bulk.

```
RbGaBr2
1.0
2.600 1.501 9.243
-2.600 1.501 9.243
0.000 -3.002 9.243
Rb Ga Br
1 1 2
Cartesian
0.000 0.000 0.000
0.000 0.000 13.864
0.000 0.000 11.077
0.000 0.000 16.652
```

Properties
Density of states at the Fermi level (states/eV/f.u.): 0.00
Formation energy from raw total energies (eV/f.u.): -3.867
VASP energy (eV/atom): -2.802
Offset from the most stable computed form (meV per atom): 137